1.
The following is a PBE calculation of an optimized crystal structure of MnAsHSe2, from the Alexandria database.

Unit cell a=4.652 b=4.652 c=3.397 alpha=90.00 beta=90.00 gamma=90.00
Element x y z (fractional)
Mn: 0.000 0.000 0.000
As: 0.500 0.500 0.000
H: 0.500 0.500 0.500
Se: 0.000 0.500 0.500
Se: 0.500 0.000 0.500

**SG**: P4/mmm (123)
**Relative energy among the computed polymorphs**: 49.6 meV per atom
**Theoretical density**: 6.52 g cm⁻³

***

2.
The following is a PBE calculation of an optimized crystal structure of Tb2DyTl2, from the Alexandria database.

Unit cell a=3.768 b=5.385 c=14.184 alpha=90.00 beta=97.66 gamma=90.00
Element x y z (fractional)
Tb: 0.049 0.250 0.098
Tb: 0.238 0.250 0.475
Tb: 0.762 0.750 0.525
Tb: 0.951 0.750 0.902
Dy: 0.149 0.750 0.299
Dy: 0.851 0.250 0.701
Tl: 0.356 0.750 0.711
Tl: 0.450 0.250 0.901
Tl: 0.550 0.750 0.099
Tl: 0.644 0.250 0.289

**SG**: P2_1/m (11)
**DFT formation energy**: -283 meV/atom
**Relative energy among the computed polymorphs**: 0.0 meV per atom
**Theoretical density**: 10.35 g cm⁻³

***

3.
The following is a PBE calculation of an optimized crystal structure of TlAg, from the Alexandria database.

Unit cell a=5.306 b=5.306 c=8.410 alpha=90.00 beta=90.00 gamma=120.00
Element x y z (fractional)
Tl: 0.000 0.000 0.250
Tl: 0.000 0.000 0.750
Tl: 0.333 0.667 0.250
Tl: 0.667 0.333 0.750
Ag: 0.333 0.667 0.584
Ag: 0.333 0.667 0.916
Ag: 0.667 0.333 0.084
Ag: 0.667 0.333 0.416

**SG**: P6_3/mmc (194)
**DFT formation energy**: 238 meV/atom
**Theoretical density**: 10.12 g cm⁻³

***

4.
The following is a PBE calculation of an optimized crystal structure of CsIn4Ag2Sn, from the Alexandria database.

Unit cell a=11.984 b=11.984 c=11.984 alpha=23.80 beta=23.80 gamma=23.80
Element x y z (fractional)
Cs: 0.000 0.000 0.000
In: 0.125 0.125 0.125
In: 0.409 0.409 0.409
In: 0.591 0.591 0.591
In: 0.875 0.875 0.875
Ag: 0.232 0.232 0.232
Ag: 0.768 0.768 0.768
Sn: 0.500 0.500 0.500

**SG**: R-3m (166)
**DFT formation energy**: -6 meV/atom
**Theoretical density**: 6.25 g cm⁻³

***

| no. | total magnetic moment (μB/cell) |
| --- | --- |
| 1 | 0.06 |
| 2 | 0.00 |
| 3 | 0.00 |
| 4 | 0.00 |